## P
VASP calculation (GGA-PBE) on HoMgAl2 after structural relaxation.

Cell: 3.4250 3.4250 7.1610 Å, 90.00 90.00 90.00°
Space group P4/mmm (No. 123)
Unique sites:
Ho1 0.0000 0.0000 0.0000
Mg1 0.0000 0.0000 0.5000
Al1 0.5000 0.5000 0.2768

Results
For the density of states at the Fermi level, the calculation gives 2.67 states/eV per cell.

## Q
VASP calculation (GGA-PBE) on HoMgAl2 after structural relaxation.

Cell: 6.9640 6.9640 6.9640 Å, 90.00 90.00 90.00°
Space group Fm-3m (No. 225)
Unique sites:
Ho1 0.0000 0.0000 0.0000
Mg1 0.0000 0.0000 0.5000
Al1 0.2500 0.2500 0.2500

Results
For the density of states at the Fermi level, the calculation gives 12.54 states/eV per cell.

How do the energies compare? Relative to the most stable structure, in meV/atom: P 0; Q 8.